# SiP2H PBE-GGA relaxed
data_SiP2H
_chemical_formula_sum 'Si2 P4 H2'
_space_group_name_H-M_alt 'C 1 m 1'
_space_group_IT_number 8
_cell_length_a 6.4210
_cell_length_b 3.2340
_cell_length_c 7.2167
_cell_angle_alpha 90.00
_cell_angle_beta 105.78
_cell_angle_gamma 90.00
loop_
_space_group_symop_operation_xyz
'x,y,z'
'x,-y,z'
'x+1/2,y+1/2,z'
'x+1/2,-y+1/2,z'
loop_
_atom_site_label
_atom_site_type_symbol
_atom_site_fract_x
_atom_site_fract_y
_atom_site_fract_z
Si1 Si 0.0000 0.0000 0.0000
P1 P 0.3656 0.0000 0.1567
P2 P 0.3992 0.5000 0.6750
H1 H 0.1197 0.0000 0.6663
# * DOS at the Fermi energy: 0.51 states/eV/f.u.
# * excess energy over the best structure of this formula in the dataset: 39 meV per atom

# SiP2H PBE-GGA relaxed
data_SiP2H
_chemical_formula_sum 'Si1 P2 H1'
_space_group_name_H-M_alt 'P 1 m 1'
_space_group_IT_number 6
_cell_length_a 4.6296
_cell_length_b 2.4262
_cell_length_c 5.9533
_cell_angle_alpha 90.00
_cell_angle_beta 111.86
_cell_angle_gamma 90.00
loop_
_space_group_symop_operation_xyz
'x,y,z'
'x,-y,z'
loop_
_atom_site_label
_atom_site_type_symbol
_atom_site_fract_x
_atom_site_fract_y
_atom_site_fract_z
Si1 Si 0.0000 0.0000 0.0000
P1 P 0.1998 0.0000 0.4353
P2 P 0.4459 0.0000 0.8860
H1 H 0.8969 0.0000 0.4477
# * DOS at the Fermi energy: 0.56 states/eV/f.u.
# * excess energy over the best structure of this formula in the dataset: 59 meV per atom

# SiP2H PBE-GGA relaxed
data_SiP2H
_chemical_formula_sum 'Si1 P2 H1'
_space_group_name_H-M_alt 'P 1'
_space_group_IT_number 1
_cell_length_a 3.2485
_cell_length_b 3.5893
_cell_length_c 6.9304
_cell_angle_alpha 93.70
_cell_angle_beta 90.64
_cell_angle_gamma 116.86
loop_
_space_group_symop_operation_xyz
'x,y,z'
loop_
_atom_site_label
_atom_site_type_symbol
_atom_site_fract_x
_atom_site_fract_y
_atom_site_fract_z
Si1 Si 0.0000 0.0000 0.0000
P1 P 0.0379 0.0601 0.3275
P2 P 0.3020 0.6113 0.8433
H1 H 0.2587 0.5085 0.3316
# * DOS at the Fermi energy: 0.34 states/eV/f.u.
# * excess energy over the best structure of this formula in the dataset: 38 meV per atom

# SiP2H PBE-GGA relaxed
data_SiP2H
_chemical_formula_sum 'Si2 P4 H2'
_space_group_name_H-M_alt 'C m m m'
_space_group_IT_number 65
_space_group_name_Hall '-C 2 2'
_cell_length_a 3.3539
_cell_length_b 9.1894
_cell_length_c 3.7884
_cell_angle_alpha 90.00
_cell_angle_beta 90.00
_cell_angle_gamma 90.00
loop_
_atom_site_label
_atom_site_type_symbol
_atom_site_fract_x
_atom_site_fract_y
_atom_site_fract_z
Si1 Si 0.0000 0.0000 0.0000
P1 P 0.0000 0.1691 0.5000
H1 H 0.0000 0.5000 0.0000
# * DOS at the Fermi energy: 1.39 states/eV/f.u.
# * excess energy over the best structure of this formula in the dataset: 46 meV per atom

# SiP2H PBE-GGA relaxed
data_SiP2H
_chemical_formula_sum 'Si1 P2 H1'
_space_group_name_H-M_alt 'P 1 m 1'
_space_group_IT_number 6
_cell_length_a 3.5982
_cell_length_b 3.3474
_cell_length_c 6.1286
_cell_angle_alpha 90.00
_cell_angle_beta 90.27
_cell_angle_gamma 90.00
loop_
_space_group_symop_operation_xyz
'x,y,z'
'x,-y,z'
loop_
_atom_site_label
_atom_site_type_symbol
_atom_site_fract_x
_atom_site_fract_y
_atom_site_fract_z
Si1 Si 0.0000 0.0000 0.0000
P1 P 0.5038 0.0000 0.2263
P2 P 0.9524 0.5000 0.7573
H1 H 0.3307 0.5000 0.6795
# * DOS at the Fermi energy: 1.81 states/eV/f.u.
# * excess energy over the best structure of this formula in the dataset: 5 meV per atom

# SiP2H PBE-GGA relaxed
data_SiP2H
_chemical_formula_sum 'Si2 P4 H2'
_space_group_name_H-M_alt 'C 1 m 1'
_space_group_IT_number 8
_cell_length_a 9.2394
_cell_length_b 3.3352
_cell_length_c 5.6038
_cell_angle_alpha 90.00
_cell_angle_beta 106.96
_cell_angle_gamma 90.00
loop_
_space_group_symop_operation_xyz
'x,y,z'
'x,-y,z'
'x+1/2,y+1/2,z'
'x+1/2,-y+1/2,z'
loop_
_atom_site_label
_atom_site_type_symbol
_atom_site_fract_x
_atom_site_fract_y
_atom_site_fract_z
Si1 Si 0.0000 0.0000 0.0000
P1 P 0.1676 0.5000 0.0347
P2 P 0.2618 0.5000 0.7207
H1 H 0.4803 0.5000 0.2568
# * DOS at the Fermi energy: 1.14 states/eV/f.u.
# * excess energy over the best structure of this formula in the dataset: 53 meV per atom

# Si2P2H PBE-GGA relaxed
data_Si2P2H
_chemical_formula_sum 'Si8 P8 H4'
_space_group_name_H-M_alt 'I 41 m d'
_space_group_IT_number 109
_space_group_name_Hall 'I 4bw -2'
_cell_length_a 6.5266
_cell_length_b 6.5266
_cell_length_c 10.5958
_cell_angle_alpha 90.00
_cell_angle_beta 90.00
_cell_angle_gamma 90.00
loop_
_atom_site_label
_atom_site_type_symbol
_atom_site_fract_x
_atom_site_fract_y
_atom_site_fract_z
Si1 Si 0.0000 0.2275 0.0000
P1 P 0.0000 0.2377 0.2132
H1 H 0.0000 0.0000 0.7098
# * DOS at the Fermi energy: 0.82 states/eV/f.u.
# * uncorrected energy: -4.801 eV/atom

# Ti2SiPH PBE-GGA relaxed
data_Ti2SiPH
_chemical_formula_sum 'Ti2 Si1 P1 H1'
_space_group_name_H-M_alt 'P 4/m m m'
_space_group_IT_number 123
_space_group_name_Hall '-P 4 2'
_cell_length_a 4.7456
_cell_length_b 4.7456
_cell_length_c 3.2071
_cell_angle_alpha 90.00
_cell_angle_beta 90.00
_cell_angle_gamma 90.00
loop_
_atom_site_label
_atom_site_type_symbol
_atom_site_fract_x
_atom_site_fract_y
_atom_site_fract_z
Ti1 Ti 0.0000 0.5000 0.0000
Si1 Si 0.0000 0.0000 0.5000
P1 P 0.5000 0.5000 0.0000
H1 H 0.5000 0.5000 0.5000
# * DOS at the Fermi energy: 4.28 states/eV/f.u.
# * uncorrected energy: -6.061 eV/atom